Computed, not measured: SrCo2 after structural relaxation at the PBE level of DFT.

The value obtained for the formation energy is 0.80 eV per atom. The density of states at the Fermi level is 3.6 states/eV/f.u. The density is 5.27 g cm⁻³.

It has space group Pnnm (No. 58), with a = 3.1202 Å, b = 7.5496 Å, c = 5.5011 Å, α = 90.00°, β = 90.00° and γ = 90.00°. The distinct sites, in fractional coordinates, are Sr at (0.0000, 0.0000, 0.0000) and Co at (0.2469, 0.3949, 0.0000).

---

Computed, not measured: Ca2PaCuSe5 after structural relaxation at the PBE level of DFT.

The density is 5.06 g cm⁻³. The energy relative to the elements, uncorrected comes out at -137 kJ per mole of atoms.

It has space group Cmc2_1 (No. 36), with a = 4.1578 Å, b = 17.0227 Å, c = 14.2857 Å, α = 90.00°, β = 90.00° and γ = 90.00°. The distinct sites, in fractional coordinates, are Ca at (0.0000, 0.0697, 0.0000), Ca at (0.0000, 0.0808, 0.2797), Pa at (0.0000, 0.2261, 0.6402), Cu at (0.0000, 0.4037, 0.0400), Se at (0.0000, 0.0663, 0.6334), Se at (0.0000, 0.2624, 0.0064), Se at (0.0000, 0.2620, 0.2715), Se at (0.0000, 0.3894, 0.6381) and Se at (0.0000, 0.4877, 0.8978).

---

Computed, not measured: RbSmCd2Br8 after structural relaxation at the PBE level of DFT.

The density of states at the Fermi level is 0.0 states/eV/f.u. The density is 4.01 g cm⁻³. The energy relative to the elements, uncorrected comes out at -125 kJ per mole of atoms.

It has space group P-1 (No. 2), with a = 7.0181 Å, b = 7.0226 Å, c = 9.7487 Å, α = 77.63°, β = 79.46° and γ = 78.90°. The distinct sites, in fractional coordinates, are Rb at (0.0000, 0.0000, 0.0000), Sm at (0.0000, 0.0000, 0.5000), Cd at (0.4572, 0.4408, 0.2164), Br at (0.1668, 0.7227, 0.7296), Br at (0.2322, 0.7892, 0.2886), Br at (0.2963, 0.2418, 0.4701) and Br at (0.3631, 0.2945, 0.0115).

---

Computed, not measured: ZrSb2Cl after structural relaxation at the PBE level of DFT.

For the offset from the most stable computed form, the calculation gives 0.300 eV/atom. The density of states at the Fermi level is 3.9 states/eV/f.u. The density is 5.31 g cm⁻³. The energy relative to the elements, uncorrected comes out at -34 kJ per mole of atoms.

It has space group Imm2 (No. 44), with a = 3.7220 Å, b = 5.2009 Å, c = 11.9661 Å, α = 90.00°, β = 90.00° and γ = 90.00°. The distinct sites, in fractional coordinates, are Zr at (0.0000, 0.0000, 0.0000), Sb at (0.0000, 0.0000, 0.4339), Sb at (0.0000, 0.5000, 0.1207) and Cl at (0.0000, 0.5000, 0.6567).

---

Computed, not measured: NaSr2Bi after structural relaxation at the PBE level of DFT.

The value obtained for the formation energy is -0.26 eV per atom. The density of states at the Fermi level is 2.2 states/eV/f.u. The density is 3.80 g cm⁻³.

It has space group I-42d (No. 122), with a = 9.4931 Å, b = 9.4931 Å, c = 7.8901 Å, α = 90.00°, β = 90.00° and γ = 90.00°. The distinct sites, in fractional coordinates, are Na at (0.0000, 0.0000, 0.0000), Sr at (0.2138, 0.7500, 0.6250) and Bi at (0.0000, 0.0000, 0.5000).

---

Computed, not measured: KGa2Sn2 after structural relaxation at the PBE level of DFT.

The value obtained for the formation energy is -0.05 eV per atom. For the offset from the most stable computed form, the calculation gives 0.112 eV/atom. The density of states at the Fermi level is 3.1 states/eV/f.u. The density is 5.24 g cm⁻³.

It has space group P4/mbm (No. 127), with a = 8.6985 Å, b = 8.6985 Å, c = 3.4841 Å, α = 90.00°, β = 90.00° and γ = 90.00°. The distinct sites, in fractional coordinates, are K at (0.0000, 0.0000, 0.0000), Ga at (0.1363, 0.3637, 0.0000) and Sn at (0.1475, 0.6475, 0.5000).

---

Computed, not measured: CePmNi after structural relaxation at the PBE level of DFT.

The value obtained for the formation energy is -0.11 eV per atom. For the offset from the most stable computed form, the calculation gives 0.027 eV/atom. The density of states at the Fermi level is 5.7 states/eV/f.u. The density is 7.78 g cm⁻³.

It has space group I4mm (No. 107), with a = 3.4957 Å, b = 3.4957 Å, c = 12.0110 Å, α = 90.00°, β = 90.00° and γ = 90.00°. The distinct sites, in fractional coordinates, are Ce at (0.0000, 0.0000, 0.0000), Pm at (0.0000, 0.0000, 0.2718) and Ni at (0.0000, 0.0000, 0.6187).

---

Computed, not measured: Th2TlAu3 after structural relaxation at the PBE level of DFT.

The value obtained for the formation energy is -0.41 eV per atom. The density of states at the Fermi level is 5.4 states/eV/f.u. The density is 13.28 g cm⁻³.

It has space group Imm2 (No. 44), with a = 3.5505 Å, b = 4.6582 Å, c = 19.0395 Å, α = 90.00°, β = 90.00° and γ = 90.00°. The distinct sites, in fractional coordinates, are Th at (0.0000, 0.0000, 0.0000), Th at (0.0000, 0.5000, 0.2076), Tl at (0.0000, 0.0000, 0.4002), Au at (0.0000, 0.0000, 0.5599), Au at (0.0000, 0.5000, 0.6398) and Au at (0.0000, 0.5000, 0.7849).

---

Repeat the second record exactly.
Computed, not measured: Ca2PaCuSe5 after structural relaxation at the PBE level of DFT.

The density is 5.06 g cm⁻³. The energy relative to the elements, uncorrected comes out at -137 kJ per mole of atoms.

It has space group Cmc2_1 (No. 36), with a = 4.1578 Å, b = 17.0227 Å, c = 14.2857 Å, α = 90.00°, β = 90.00° and γ = 90.00°. The distinct sites, in fractional coordinates, are Ca at (0.0000, 0.0697, 0.0000), Ca at (0.0000, 0.0808, 0.2797), Pa at (0.0000, 0.2261, 0.6402), Cu at (0.0000, 0.4037, 0.0400), Se at (0.0000, 0.0663, 0.6334), Se at (0.0000, 0.2624, 0.0064), Se at (0.0000, 0.2620, 0.2715), Se at (0.0000, 0.3894, 0.6381) and Se at (0.0000, 0.4877, 0.8978).

---

Question: The highest density belongs to which entry?
Answer: Th2TlAu3